TmThTlZn | PBE | optimized geometry

a = 5.2779 Å, b = 5.2779 Å, c = 5.2779 Å
α = 60.00°, β = 60.00°, γ = 60.00°
Fractional positions:
Tm 0.0000 0.0000 0.0000
Th 0.5000 0.5000 0.5000
Tl 0.2500 0.2500 0.2500
Zn 0.7500 0.7500 0.7500

Values from the calculation:
Its total energy is -4.071 eV/atom. As for the energy of formation: -0.188 eV/atom.